Density functional theory data (PBE) for a relaxed SrLiTa2 crystal.

Properties
SG   P2/m
Crystal system   monoclinic

a b c (Å): 5.6916 3.0718 5.1175
angles (deg): 79.66 90.00 90.00
Positions (direct):
Li 0.5000 0.2500 0.2500
Sr 0.5000 0.7500 0.7500
Ta 0.0000 0.0437 0.0197
Ta 0.0000 0.4563 0.4803

=====

Density functional theory data (PBE) for a relaxed SrLi2Ta crystal.

Properties
SG   I-42d
Crystal system   tetragonal

a b c (Å): 8.0090 8.0090 6.4943
angles (deg): 51.93 51.93 90.00
Last column: magnetic moment on the atom in μB.
Positions (direct):
Sr 0.5000 0.5000 0.0000  0.12
Sr 0.2500 0.7500 0.5000  0.12
Li 0.6550 0.1250 0.2500  0.05
Li 0.0950 0.6250 0.2500  0.05
Li 0.3750 0.3450 0.7500  0.05
Li 0.8750 0.9050 0.7500  0.05
Ta 0.0000 0.0000 0.0000  1.61
Ta 0.7500 0.2500 0.5000  1.62

=====

Density functional theory data (PBE) for a relaxed Sr2LiTaTl crystal.

Properties
SG   P4/mmm
Crystal system   tetragonal

a b c (Å): 5.7394 5.7394 4.8184
angles (deg): 90.00 90.00 90.00
Last column: magnetic moment on the atom in μB.
Positions (direct):
Sr 0.0000 0.5000 0.0000  0.06
Sr 0.5000 0.0000 0.0000  0.06
Tl 0.0000 0.0000 0.5000  -0.05
Li 0.0000 0.0000 0.0000  -0.02
Ta 0.5000 0.5000 0.5000  1.96

=====

Density functional theory data (PBE) for a relaxed SrLiTa2W crystal.

Properties
SG   P4/mmm
Crystal system   tetragonal

a b c (Å): 4.9998 3.8808 4.9998
angles (deg): 90.00 90.00 90.00
Positions (direct):
Sr 0.0000 0.0000 0.0000
Li 0.0000 0.5000 0.0000
W 0.5000 0.5000 0.5000
Ta 0.0000 0.0000 0.5000
Ta 0.5000 0.0000 0.0000

=====

no.,energy (eV per cell),formation energy (meV per atom)
1,-24.3,750
2,-26.0,1091
3,-15.0,904
4,-28.0,2456